Compound: HfZrNO2
Source: Alexandria
Functional: PBE-GGA
Structure: relaxed

```
HfZrNO2
1.0
-3.662 1.320 0.808
0.408 -1.179 3.775
1.612 3.845 1.026
Hf O Zr N
1 2 1 1
direct
0.000 0.000 0.000
0.000 0.500 0.000
0.500 0.000 0.000
0.500 0.500 0.500
0.000 0.000 0.500
```

The calculation puts the raw total energy at -45.62 eV per formula unit.